Entry 1:
Computed, not measured: an optimized crystal structure of ThSeI2 at the PBE level of DFT.

Its distance to the lowest polymorph of the same formula is 0 meV/atom. As for the crystal system: monoclinic. The value obtained for the energy relative to the elements, uncorrected is -1315 meV/atom.

The structure belongs to space group Cm (No. 8); the cell edges are 10.065, 4.143 and 8.925 Å and the angles 90.00°, 108.89° and 90.00°. The distinct sites, in fractional coordinates, are Th at (0.000, 0.000, 0.000), Se at (0.203, 0.500, 0.000), I at (0.006, 0.500, 0.278) and I at (0.347, 0.000, 0.722).

=====

Entry 2:
Computed, not measured: an optimized crystal structure of Na2CaSb2 at the PBE level of DFT.

Its distance to the lowest polymorph of the same formula is 0 meV/atom. The density of states at the Fermi level is 0.312 states/eV/atom. As for the crystal system: tetragonal. The value obtained for the energy relative to the elements, uncorrected is -449 meV/atom.

The structure belongs to space group I4/mmm (No. 139); the cell edges are 4.624, 4.624 and 14.075 Å and the angles 90.00°, 90.00° and 90.00°. The distinct sites, in fractional coordinates, are Na at (0.000, 0.500, 0.250), Ca at (0.000, 0.000, 0.000) and Sb at (0.000, 0.000, 0.399).

=====

Entry 3:
Computed, not measured: an optimized crystal structure of Li2Np3ScN6 at the PBE level of DFT.

The density of states at the Fermi level is 1.297 states/eV/atom. As for the crystal system: monoclinic. The value obtained for the energy relative to the elements, uncorrected is -1109 meV/atom.

The structure belongs to space group C2/m (No. 12); the cell edges are 13.669, 3.409 and 6.124 Å and the angles 90.00°, 91.44° and 90.00°. The distinct sites, in fractional coordinates, are Li at (0.132, 0.000, 0.267), Np at (0.000, 0.500, 0.000), Np at (0.197, 0.000, 0.743), Sc at (0.000, 0.500, 0.500), N at (0.016, 0.000, 0.751), N at (0.161, 0.500, 0.000) and N at (0.165, 0.500, 0.497).

=====

Entry 4:
Computed, not measured: an optimized crystal structure of ScMo2Ir at the PBE level of DFT.

Its distance to the lowest polymorph of the same formula is 135 meV/atom. Its energy relative to the elements is -2.9 kcal/mol of atoms. The density of states at the Fermi level is 1.224 states/eV/atom. As for the crystal system: tetragonal.

The structure belongs to space group P4/mmm (No. 123); the cell edges are 3.750, 3.750 and 4.711 Å and the angles 90.00°, 90.00° and 90.00°. The distinct sites, in fractional coordinates, are Sc at (0.000, 0.000, 0.000), Mo at (0.000, 0.500, 0.500) and Ir at (0.500, 0.500, 0.000).

=====

Entry 5:
Computed, not measured: an optimized crystal structure of Pd4PtW at the PBE level of DFT.

Its distance to the lowest polymorph of the same formula is 0 meV/atom. Its energy relative to the elements is -2.4 kcal/mol of atoms. The density of states at the Fermi level is 0.904 states/eV/atom. As for the crystal system: monoclinic.

The structure belongs to space group P2/m (No. 10); the cell edges are 4.860, 2.788 and 6.824 Å and the angles 90.00°, 90.61° and 90.00°. The distinct sites, in fractional coordinates, are Pd at (0.166, 0.000, 0.172), Pd at (0.323, 0.500, 0.828), Pt at (0.500, 0.000, 0.500) and W at (0.000, 0.500, 0.500).

=====

Entry 6:
Computed, not measured: an optimized crystal structure of NaTl2CdSn at the PBE level of DFT.

Its energy relative to the elements is 5.4 kcal/mol of atoms. The density of states at the Fermi level is 0.749 states/eV/atom. As for the crystal system: tetragonal.

The structure belongs to space group P4/mmm (No. 123); the cell edges are 5.958, 5.958 and 5.893 Å and the angles 90.00°, 90.00° and 90.00°. The distinct sites, in fractional coordinates, are Na at (0.000, 0.000, 0.000), Tl at (0.000, 0.500, 0.500), Cd at (0.500, 0.500, 0.000) and Sn at (0.000, 0.000, 0.500).

=====

Which formula does entry 6 have?
NaTl2CdSn

=====

What is the formula in the third record?
Li2Np3ScN6